{"formula": "AlRuAu3", "functional": "PBE", "state": "optimized geometry", "lattice_angstrom": [[5.0609, 0.0000, 0.0000], [0.0000, 5.0609, 0.0000], [0.0000, 0.0000, 5.0609]], "species": ["Ru", "Au", "Au", "Au", "Al"], "fractional_positions": [[0.0000, 0.0000, 0.0000], [0.0000, 0.5000, 0.0000], [0.5000, 0.0000, 0.0000], [0.0000, 0.0000, 0.5000], [0.5000, 0.5000, 0.5000]], "space_group": "Pm-3m", "delta_e_f_ev_per_atom": 1.04, "mass_density_g_cm3": 9.21, "total_magnetization_mub_per_fu": 2.2, "e_above_lowest_polymorph_mev_per_atom": 168.2}

=====

{"formula": "AlRu2Au", "functional": "PBE", "state": "optimized geometry", "lattice_angstrom": [[9.0204, 0.0150, 0.0088], [8.5824, 2.7766, 0.0088], [8.5824, 1.3611, 2.4201]], "species": ["Ru", "Ru", "Al", "Au"], "fractional_positions": [[0.9929, 0.9929, 0.9929], [0.5071, 0.5071, 0.5071], [0.2500, 0.2500, 0.2500], [0.7500, 0.7500, 0.7500]], "space_group": "R-3m", "delta_e_f_ev_per_atom": 0.00, "mass_density_g_cm3": 11.77, "total_magnetization_mub_per_fu": 0.0}

=====

{"formula": "Al4Ru3Au", "functional": "PBE", "state": "optimized geometry", "lattice_angstrom": [[3.1162, 0.0000, 0.0000], [0.0000, 4.2244, 0.0000], [0.0000, 0.0000, 8.5525]], "species": ["Ru", "Ru", "Ru", "Au", "Al", "Al", "Al", "Al"], "fractional_positions": [[0.5000, 0.5000, 0.5000], [0.5000, 0.0000, 0.7607], [0.5000, 0.0000, 0.2393], [0.5000, 0.5000, 0.0000], [0.0000, 0.0000, 0.0000], [0.0000, 0.5000, 0.2695], [0.0000, 0.0000, 0.5000], [0.0000, 0.5000, 0.7305]], "space_group": "Pmmm", "delta_e_f_ev_per_atom": -0.67, "mass_density_g_cm3": 8.97, "total_magnetization_mub_per_fu": 0.0}

=====

{"formula": "AlRu2Au", "functional": "PBE", "state": "optimized geometry", "lattice_angstrom": [[-3.9680, -2.6708, -0.4102], [-2.0825, -4.1962, 1.0495], [-2.3814, 0.9074, 4.0244]], "species": ["Ru", "Ru", "Au", "Al"], "fractional_positions": [[0.9863, 0.9863, 0.0212], [0.5137, 0.5137, 0.4788], [0.7500, 0.7500, 0.7500], [0.2500, 0.2500, 0.2500]], "space_group": "C2/m", "delta_e_f_ev_per_atom": -0.02, "mass_density_g_cm3": 11.80, "total_magnetization_mub_per_fu": 0.0}

=====

{"formula": "AlRu2Au", "functional": "PBE", "state": "optimized geometry", "lattice_angstrom": [[4.0631, 0.0000, 0.0000], [0.0000, 2.8556, -0.0060], [0.0000, 1.8730, 5.2120]], "species": ["Al", "Ru", "Ru", "Au"], "fractional_positions": [[0.5000, 0.2500, 0.2500], [0.0000, 0.0935, 0.0263], [0.0000, 0.4065, 0.4737], [0.5000, 0.7500, 0.7500]], "space_group": "P2/m", "delta_e_f_ev_per_atom": 0.03, "mass_density_g_cm3": 11.69, "total_magnetization_mub_per_fu": 0.0}

=====

{"formula": "AlRu2Au", "functional": "PBE", "state": "optimized geometry", "lattice_angstrom": [[8.8678, -0.0150, -0.0088], [8.4205, 2.7810, -0.0088], [8.4205, 1.3472, 2.4329]], "species": ["Au", "Ru", "Ru", "Al"], "fractional_positions": [[0.7530, 0.7530, 0.7530], [0.9932, 0.9932, 0.9932], [0.2490, 0.2490, 0.2490], [0.5048, 0.5048, 0.5048]], "space_group": "R3m", "delta_e_f_ev_per_atom": -0.02, "mass_density_g_cm3": 11.69, "total_magnetization_mub_per_fu": 0.0}

=====

{"formula": "AlRu2Au", "functional": "PBE", "state": "optimized geometry", "lattice_angstrom": [[4.7133, -0.0046, -0.0059], [3.8409, 2.7317, -0.0059], [0.8679, 0.2767, 4.6425]], "species": ["Ru", "Ru", "Al", "Au"], "fractional_positions": [[0.9935, 0.9935, 0.0356], [0.2487, 0.2487, 0.2267], [0.5053, 0.5053, 0.5069], [0.7526, 0.7526, 0.7309]], "space_group": "Cm", "delta_e_f_ev_per_atom": -0.07, "mass_density_g_cm3": 11.82, "total_magnetization_mub_per_fu": 0.0}

=====

{"formula": "AlRuAu2", "functional": "PBE", "state": "optimized geometry", "lattice_angstrom": [[4.1450, 0.0000, 0.0000], [0.0000, 3.9255, 0.0000], [0.0000, 0.0000, 3.9255]], "species": ["Al", "Ru", "Au", "Au"], "fractional_positions": [[0.5000, 0.0000, 0.5000], [0.5000, 0.5000, 0.0000], [0.0000, 0.5000, 0.5000], [0.0000, 0.0000, 0.0000]], "space_group": "P4/mmm", "delta_e_f_ev_per_atom": -0.11, "mass_density_g_cm3": 13.57, "total_magnetization_mub_per_fu": 0.0}

=====

{"formula": "AlRuAu", "functional": "PBE", "state": "optimized geometry", "lattice_angstrom": [[4.3134, 0.0000, 0.0000], [-2.1567, 3.7355, 0.0000], [0.0000, 0.0000, 2.8973]], "species": ["Ru", "Au", "Al"], "fractional_positions": [[0.3333, 0.6667, 0.6963], [0.6667, 0.3333, 0.2074], [0.0000, 0.0000, 0.0963]], "space_group": "P3m1", "delta_e_f_ev_per_atom": -0.07, "mass_density_g_cm3": 11.56, "total_magnetization_mub_per_fu": 0.2, "e_above_lowest_polymorph_mev_per_atom": 121.1}

=====

{"formula": "AlRu2Au", "functional": "PBE", "state": "optimized geometry", "lattice_angstrom": [[2.7823, -0.0021, 0.0000], [-1.2733, 2.4739, 0.0000], [0.0000, 0.0000, 8.9426]], "species": ["Al", "Au", "Ru", "Ru"], "fractional_positions": [[0.0000, 0.0000, 0.4864], [0.5000, 0.5000, 0.7378], [0.5000, 0.5000, 0.2594], [0.0000, 0.0000, 0.0164]], "space_group": "Cmm2", "delta_e_f_ev_per_atom": 0.17, "mass_density_g_cm3": 11.50, "total_magnetization_mub_per_fu": 1.1}

=====

{"formula": "AlRuAu2", "functional": "PBE", "state": "optimized geometry", "lattice_angstrom": [[5.2743, 0.0016, 0.0010], [2.3729, 4.7104, -0.0010], [-3.3090, -3.1912, 2.5856]], "species": ["Au", "Au", "Ru", "Al"], "fractional_positions": [[0.7483, 0.2483, 0.5000], [0.0227, 0.0227, 0.0000], [0.4733, 0.4733, 0.0000], [0.2558, 0.7558, 0.5000]], "space_group": "Imm2", "delta_e_f_ev_per_atom": -0.06, "mass_density_g_cm3": 13.50, "total_magnetization_mub_per_fu": 0.0}

=====

{"formula": "AlRu2Au", "functional": "PBE", "state": "optimized geometry", "lattice_angstrom": [[-4.8444, -2.3287, 0.0926], [-0.5555, -5.2906, -0.7755], [2.0828, 4.0175, 2.9019]], "species": ["Al", "Au", "Ru", "Ru"], "fractional_positions": [[0.7500, 0.2500, 0.5000], [0.2500, 0.7500, 0.5000], [0.9681, 0.9681, 0.0000], [0.5319, 0.5319, 0.0000]], "space_group": "Immm", "delta_e_f_ev_per_atom": -0.02, "mass_density_g_cm3": 11.77, "total_magnetization_mub_per_fu": 0.0}